Record 1
5
Lattice="-0.252 3.838 2.633 -2.904 1.931 -3.093 -3.637 -1.808 2.286" Properties=species:S:1:pos:R:3 comment="Y3ZnO | Alexandria via LeMat-Bulk | SCAN | PBEsol geometry" sg="No. 221" magnetic_moment_mub_per_cell=0.01 e_form_raw_ev_per_atom=-1.448 pbc="T T T"
Y -1.452 0.966 -1.546
Y -1.819 -0.904 1.143
Y -0.126 1.919 1.317
Zn -3.397 1.981 0.914
O 0.000 0.000 0.000



Record 2
5
Lattice="2.892 0.000 0.000 0.000 4.847 0.000 0.000 0.000 4.847" Properties=species:S:1:pos:R:3 comment="Ti2BeWO | Alexandria via LeMat-Bulk | SCAN | PBEsol geometry" sg="No. 123" magnetic_moment_mub_per_cell=0.00 e_form_raw_ev_per_atom=0.091 pbc="T T T"
Be 0.000 0.000 0.000
O 1.446 0.000 0.000
W 1.446 2.424 2.424
Ti 0.000 0.000 2.424
Ti 0.000 2.424 0.000